First-principles (PBE with a Hubbard U) data for crystalline NiPt2F8 at its relaxed geometry, as listed in Alexandria.

Lattice parameters (Å, degrees): 5.691 5.691 4.719 92.83 92.83 72.34
Fractional positions:
Ni: 0.000 0.000 0.000
Pt: 0.380 0.380 0.755
Pt: 0.620 0.620 0.245
F: 0.087 0.679 0.760
F: 0.165 0.165 0.743
F: 0.321 0.913 0.240
F: 0.400 0.400 0.259
F: 0.600 0.600 0.741
F: 0.679 0.087 0.760
F: 0.835 0.835 0.257
F: 0.913 0.321 0.240

Summary:
* DOS at the Fermi energy: 0.56 states/eV per atom
* energy: -4.0630 eV per atom